1.
Material: La3SiSe6
Method: DFT, GGA-PBE
State: relaxed

Computed properties:
E, eV per atom: -5.66
SG: Cmc2_1 (36)
Total magnetization, Bohr magnetons per cell: 0.00

Cell lengths 7.097, 9.275, 9.275 Å; angles 102.46, 90.00, 90.00 degrees
Fractional coordinates of all 20 atoms:
Se 0.684 0.214 0.786
Se 0.186 0.422 0.902
Se 0.192 0.684 0.636
Se 0.658 0.958 0.042
Se 0.192 0.364 0.316
Se 0.692 0.316 0.364
Se 0.692 0.636 0.684
Se 0.158 0.042 0.958
Se 0.184 0.786 0.214
Se 0.186 0.098 0.578
Se 0.686 0.902 0.422
Se 0.686 0.578 0.098
Si 0.029 0.197 0.803
Si 0.529 0.803 0.197
La 0.978 0.717 0.916
La 0.478 0.283 0.084
La 0.903 0.604 0.396
La 0.978 0.084 0.283
La 0.403 0.396 0.604
La 0.478 0.916 0.717



2.
Material: La3SiSe2
Method: DFT, GGA-PBE
State: relaxed

Computed properties:
E, eV per atom: -6.15
SG: Immm (71)
Total magnetization, Bohr magnetons per cell: 0.00

Cell lengths 4.366, 6.140, 7.542 Å; angles 114.02, 106.83, 90.00 degrees
Fractional coordinates of all 6 atoms:
La 0.339 0.339 0.679
La 0.661 0.661 0.321
La 0.000 0.000 0.000
Se 0.668 0.168 0.335
Se 0.332 0.832 0.665
Si 0.000 0.500 0.000



3.
Material: LaSi2Se6
Method: DFT, GGA-PBE
State: relaxed

Computed properties:
E, eV per atom: -4.76
SG: C2/c (15)
Total magnetization, Bohr magnetons per cell: 0.00

Cell lengths 7.077, 8.991, 8.991 Å; angles 77.60, 73.03, 73.03 degrees
Fractional coordinates of all 18 atoms:
Se 0.546 0.706 0.571
Se 0.921 0.906 0.397
Se 0.178 0.822 0.956
Se 0.421 0.397 0.906
Se 0.954 0.429 0.294
Se 0.322 0.044 0.178
Se 0.579 0.603 0.094
Se 0.678 0.956 0.822
Se 0.822 0.178 0.044
Se 0.454 0.294 0.429
Se 0.079 0.094 0.603
Se 0.046 0.571 0.706
Si 0.788 0.790 0.639
Si 0.212 0.210 0.361
Si 0.712 0.361 0.210
Si 0.288 0.639 0.790
La 0.250 0.165 0.835
La 0.750 0.835 0.165



4.
Material: LaSiSe
Method: DFT, GGA-PBE
State: relaxed

Computed properties:
Relative energy among the computed polymorphs, meV/atom: 337
SG: P-6m2 (187)
Total magnetization, Bohr magnetons per cell: 0.00

Cell lengths 4.509, 4.509, 4.050 Å; angles 90.00, 90.00, 120.00 degrees
Fractional coordinates of all 3 atoms:
Si 0.333 0.667 0.500
Se 0.667 0.333 0.500
La 0.000 0.000 0.000



5.
Material: LaSi2Se
Method: DFT, GGA-PBE
State: relaxed

Computed properties:
E, eV per atom: -4.69
SG: R-3m (166)
Total magnetization, Bohr magnetons per cell: 0.00

Cell lengths 8.561, 8.561, 8.561 Å; angles 23.80, 23.80, 23.80 degrees
Fractional coordinates of all 4 atoms:
La 0.250 0.250 0.250
Si 0.485 0.485 0.485
Si 0.015 0.015 0.015
Se 0.750 0.750 0.750



6.
Material: LaSiSe2
Method: DFT, GGA-PBE
State: relaxed

Computed properties:
E, eV per atom: -5.19
SG: P2/m (10)
Total magnetization, Bohr magnetons per cell: 0.00

Cell lengths 3.820, 3.833, 6.869 Å; angles 76.58, 90.00, 90.00 degrees
Fractional coordinates of all 4 atoms:
Se 0.000 0.150 0.996
Se 0.000 0.350 0.504
Si 0.500 0.250 0.250
La 0.500 0.750 0.750



7.
Material: LaSiSe
Method: DFT, GGA-PBE
State: relaxed

Computed properties:
Relative energy among the computed polymorphs, meV/atom: 700
SG: F-43m (216)
Total magnetization, Bohr magnetons per cell: 0.00

Cell lengths 4.859, 4.859, 4.859 Å; angles 60.00, 60.00, 60.00 degrees
Fractional coordinates of all 3 atoms:
Se 0.500 0.500 0.500
Si 0.750 0.750 0.750
La 0.000 0.000 0.000



8.
Material: La2SiSe
Method: DFT, GGA-PBE
State: relaxed

Computed properties:
Relative energy among the computed polymorphs, meV/atom: 327
SG: Fm-3m (225)
Total magnetization, Bohr magnetons per cell: 0.00

Cell lengths 5.291, 5.291, 5.291 Å; angles 60.00, 60.00, 60.00 degrees
Fractional coordinates of all 4 atoms:
La 0.250 0.250 0.250
La 0.750 0.750 0.750
Se 0.500 0.500 0.500
Si 0.000 0.000 0.000